1.
Compound: KAgCl2
Source: Alexandria
Functional: SCAN
Structure: single point on PBEsol structure

Calculated values
The total energy is -61.00 eV/f.u. The value obtained for the formation energy (no corrections) is -1.3369 eV per atom. Its magnetization is 0.0 μB per formula unit. Its symmetry is R-3m (166). The volume comes out at 24.215 A^3/atom.

Lattice parameters (Å, degrees): 6.938 6.938 6.938 34.75 34.75 34.75
Element x y z (fractional)
1 K 0.000 0.000 0.000
2 Ag 0.500 0.500 0.500
3 Cl 0.237 0.237 0.237
4 Cl 0.763 0.763 0.763



2.
Compound: CaTe2Os
Source: Alexandria
Functional: SCAN
Structure: single point on PBEsol structure

Calculated values
The total energy is -156.79 eV/f.u. For the energy above the lowest structure with this stoichiometry, the calculation gives 30.89 kJ/mol of atoms. The value obtained for the formation energy (no corrections) is -0.1869 eV per atom. Its magnetization is 0.0 μB per formula unit. Its symmetry is P4mm (99). The volume comes out at 24.107 A^3/atom.

Lattice parameters (Å, degrees): 3.254 3.254 9.108 90.00 90.00 90.00
Element x y z (fractional)
1 Ca 0.000 0.000 0.000
2 Te 0.000 0.000 0.385
3 Te 0.500 0.500 0.744
4 Os 0.500 0.500 0.236



3.
Compound: TcPbCl2
Source: Alexandria
Functional: SCAN
Structure: single point on PBEsol structure

Calculated values
The total energy is -127.81 eV/f.u. For the energy above the lowest structure with this stoichiometry, the calculation gives 0.00 kJ/mol of atoms. The value obtained for the formation energy (no corrections) is -0.2538 eV per atom. Its magnetization is 0.0 μB per formula unit. Its symmetry is Cm (8). The volume comes out at 22.396 A^3/atom.

Lattice parameters (Å, degrees): 5.356 5.356 6.170 114.73 114.73 34.26
Element x y z (fractional)
1 Tc 0.000 0.000 0.000
2 Pb 0.723 0.723 0.997
3 Cl 0.380 0.380 0.678
4 Cl 0.556 0.556 0.324



4.
Compound: Rb2MnTeSe
Source: Alexandria
Functional: SCAN
Structure: single point on PBEsol structure

Calculated values
The total energy is -120.46 eV/f.u. The value obtained for the formation energy (no corrections) is -0.6793 eV per atom. Its magnetization is 5.1 μB per formula unit. Its symmetry is P4/mmm (123). The volume comes out at 38.194 A^3/atom.

Lattice parameters (Å, degrees): 6.399 6.399 4.663 90.00 90.00 90.00
Element x y z (fractional)
1 Rb 0.000 0.500 0.000
2 Rb 0.500 0.000 0.000
3 Mn 0.000 0.000 0.500
4 Te 0.500 0.500 0.500
5 Se 0.000 0.000 0.000



5.
Compound: Ba2LaPt
Source: Alexandria
Functional: SCAN
Structure: single point on PBEsol structure

Calculated values
The total energy is -194.57 eV/f.u. The formation energy is -543 meV/atom. For the energy above the lowest structure with this stoichiometry, the calculation gives 6.41 kJ/mol of atoms. Its magnetization is 0.0 μB per formula unit. Its symmetry is P4mm (99). The volume comes out at 37.701 A^3/atom.

Lattice parameters (Å, degrees): 3.818 3.818 10.344 90.00 90.00 90.00
Element x y z (fractional)
1 Ba 0.000 0.000 0.000
2 Ba 0.500 0.500 0.354
3 La 0.000 0.000 0.667
4 Pt 0.500 0.500 0.792



6.
Compound: ZnPdBr2
Source: Alexandria
Functional: SCAN
Structure: single point on PBEsol structure

Calculated values
The total energy is -85.80 eV/f.u. For the energy above the lowest structure with this stoichiometry, the calculation gives 0.00 kJ/mol of atoms. The value obtained for the formation energy (no corrections) is -0.1469 eV per atom. Its magnetization is 0.0 μB per formula unit. Its symmetry is I-42d (122). The volume comes out at 24.212 A^3/atom.

Lattice parameters (Å, degrees): 6.907 6.907 6.907 129.02 129.02 74.99
Element x y z (fractional)
1 Zn 0.000 0.000 0.000
2 Zn 0.750 0.250 0.500
3 Pd 0.250 0.750 0.500
4 Pd 0.500 0.500 0.000
5 Br 0.110 0.625 0.985
6 Br 0.375 0.360 0.485
7 Br 0.640 0.125 0.015
8 Br 0.875 0.890 0.515



7.
Compound: AlCr2As
Source: Alexandria
Functional: SCAN
Structure: single point on PBEsol structure

Calculated values
The total energy is -63.67 eV/f.u. The formation energy is 260 meV/atom. For the energy above the lowest structure with this stoichiometry, the calculation gives 36.34 kJ/mol of atoms. Its magnetization is 6.0 μB per formula unit. Its symmetry is I-42d (122). The volume comes out at 15.049 A^3/atom.

Lattice parameters (Å, degrees): 5.446 5.446 5.446 103.96 103.96 121.16
Element x y z (fractional)
1 Al 0.000 0.000 0.000
2 Al 0.750 0.250 0.500
3 Cr 0.154 0.125 0.529
4 Cr 0.375 0.846 0.971
5 Cr 0.596 0.625 0.471
6 Cr 0.875 0.404 0.029
7 As 0.250 0.750 0.500
8 As 0.500 0.500 0.000



8.
Compound: ZnHg3
Source: Alexandria
Functional: SCAN
Structure: single point on PBEsol structure

Calculated values
The total energy is -217.49 eV/f.u. The formation energy is 132 meV/atom. For the energy above the lowest structure with this stoichiometry, the calculation gives 6.12 kJ/mol of atoms. Its magnetization is 0.0 μB per formula unit. Its symmetry is Pmm2 (25). The volume comes out at 21.320 A^3/atom.

Lattice parameters (Å, degrees): 3.455 4.383 5.633 90.00 90.00 90.00
Element x y z (fractional)
1 Zn 0.000 0.000 0.000
2 Hg 0.000 0.500 0.662
3 Hg 0.500 0.000 0.472
4 Hg 0.500 0.500 0.116



9.
Compound: TlNiCl
Source: Alexandria
Functional: SCAN
Structure: single point on PBEsol structure

Calculated values
The total energy is -96.66 eV/f.u. For the energy above the lowest structure with this stoichiometry, the calculation gives 0.00 kJ/mol of atoms. The value obtained for the formation energy (no corrections) is -0.0503 eV per atom. Its magnetization is 0.0 μB per formula unit. Its symmetry is P-6m2 (187). The volume comes out at 20.005 A^3/atom.

Lattice parameters (Å, degrees): 3.776 3.776 4.861 90.00 90.00 120.00
Element x y z (fractional)
1 Tl 0.000 0.000 0.000
2 Ni 0.667 0.333 0.500
3 Cl 0.333 0.667 0.500



10.
Compound: ScCo2Sn2
Source: Alexandria
Functional: SCAN
Structure: single point on PBEsol structure

Calculated values
The total energy is -120.94 eV/f.u. The formation energy is -50 meV/atom. Its magnetization is 0.0 μB per formula unit. Its symmetry is I4/mmm (139). The volume comes out at 17.703 A^3/atom.

Lattice parameters (Å, degrees): 6.221 6.221 6.221 142.53 142.53 54.03
Element x y z (fractional)
1 Sc 0.000 0.000 0.000
2 Co 0.250 0.750 0.500
3 Co 0.750 0.250 0.500
4 Sn 0.376 0.376 0.000
5 Sn 0.624 0.624 0.000



11.
Compound: BaCdTe2
Source: Alexandria
Functional: SCAN
Structure: single point on PBEsol structure

Calculated values
The total energy is -148.66 eV/f.u. The value obtained for the formation energy (no corrections) is -1.0483 eV per atom. Its magnetization is 0.0 μB per formula unit. Its symmetry is R3m (160). The volume comes out at 33.758 A^3/atom.

Lattice parameters (Å, degrees): 8.105 8.105 8.105 32.29 32.29 32.29
Element x y z (fractional)
1 Ba 0.000 0.000 0.000
2 Cd 0.169 0.169 0.169
3 Te 0.569 0.569 0.569
4 Te 0.764 0.764 0.764



12.
Compound: SrB6
Source: Alexandria
Functional: SCAN
Structure: single point on PBEsol structure

Calculated values
The total energy is -70.57 eV/f.u. The formation energy is -531 meV/atom. Its magnetization is 0.0 μB per formula unit. Its symmetry is Pm-3m (221). The volume comes out at 10.403 A^3/atom.

Lattice parameters (Å, degrees): 4.176 4.176 4.176 90.00 90.00 90.00
Element x y z (fractional)
1 Sr 0.000 0.000 0.000
2 B 0.203 0.500 0.500
3 B 0.500 0.203 0.500
4 B 0.500 0.500 0.203
5 B 0.500 0.500 0.797
6 B 0.500 0.797 0.500
7 B 0.797 0.500 0.500